Record 1
# TiNb3Tl2O12

An optimized crystal structure of TiNb3Tl2O12 (PBE-GGA, Alexandria via LeMat-Bulk).

**Calculated volume**: 894.4 Å³ per cell
**Density**: 5.2 g/cm³
**Electronic total energy**: -412.1 eV per cell
**Raw formation energy**: -1.9457 eV/atom

a = 7.5306 Å, b = 7.5306 Å, c = 18.2116 Å
α = 90.00°, β = 90.00°, γ = 120.00°
With the nearest neighbours (Å) after each atom.
Space group R-3m (No. 166, hexagonal axes)
Inequivalent atoms, fractional coordinates:
Ti 0.0000 0.0000 0.0000 x3  6 O 1.95
Nb 0.0000 0.5000 0.5000 x9  6 O 2.00
Tl 0.0000 0.0000 0.3436 x6  6 O 3.04-3.22
O 0.0860 0.5430 0.8569 x18  2 Nb 2.00
O 0.0878 0.5439 0.6053 x18  1 Ti 1.95, 1 Nb 2.00



Record 2
# RbPr4S6

An optimized crystal structure of RbPr4S6 (PBE-GGA, Alexandria via LeMat-Bulk).

**Calculated volume**: 628.8 Å³ per cell
**Distance to the lowest polymorph of the same formula**: 0.2899 eV/atom
**Density**: 4.4 g/cm³
**Electronic total energy**: -125.3 eV per cell
**Raw formation energy**: -1.6201 eV/atom

a = 7.9925 Å, b = 7.9925 Å, c = 9.8438 Å
α = 90.00°, β = 90.00°, γ = 90.00°
With the nearest neighbours (Å) after each atom.
Space group I-42m (No. 121)
Inequivalent atoms, fractional coordinates:
Rb 0.0000 0.0000 0.0000 x2  4 S 3.55, 4 Pr 3.61
Pr 0.1948 0.1948 0.6085 x8  4 S 2.75-2.90
S 0.0000 0.5000 0.0000 x4  4 Pr 3.08
S 0.1454 0.1454 0.3191 x8  4 Pr 2.75-2.90



Record 3
# KTmAgBr6

An optimized crystal structure of KTmAgBr6 (PBE-GGA, Alexandria via LeMat-Bulk).

**Calculated volume**: 330.1 Å³ per cell
**Density**: 4.0 g/cm³
**Electronic total energy**: -29.9 eV per cell
**Raw formation energy**: -1.2747 eV/atom

a = 7.0610 Å, b = 7.0647 Å, c = 7.3406 Å
α = 92.36°, β = 92.45°, γ = 115.28°
With the nearest neighbours (Å) after each atom.
Space group P1 (No. 1)
Inequivalent atoms, fractional coordinates:
K 0.0000 0.0000 0.0000 x1  6 Br 3.32-3.44
Tm 0.3319 0.6688 0.5011 x1  6 Br 2.69-2.83
Ag 0.6767 0.3230 0.5010 x1  4 Br 2.66
Br 0.0215 0.3594 0.6921 x1  1 Ag 2.66, 1 Tm 2.82
Br 0.0241 0.6316 0.2532 x1  1 Tm 2.69
Br 0.3711 0.9755 0.7507 x1  1 Tm 2.69
Br 0.3976 0.3706 0.2760 x1  1 Ag 2.66, 1 Tm 2.83
Br 0.6290 0.6009 0.7267 x1  1 Ag 2.66, 1 Tm 2.83
Br 0.6412 0.9790 0.3102 x1  1 Ag 2.66, 1 Tm 2.82



Record 4
# Dy2TmAg3

An optimized crystal structure of Dy2TmAg3 (PBE-GGA, Alexandria via LeMat-Bulk).

**Calculated volume**: 142.2 Å³ per cell
**Density**: 9.5 g/cm³
**Electronic total energy**: -24.2 eV per cell
**Formation energy**: -0.330 eV per atom

a = 3.6013 Å, b = 3.6013 Å, c = 10.9608 Å
α = 90.00°, β = 90.00°, γ = 90.00°
With the nearest neighbours (Å) after each atom.
Space group P4/mmm (No. 123)
Inequivalent atoms, fractional coordinates:
Dy 0.0000 0.0000 0.1684 x2  8 Ag 3.15
Tm 0.0000 0.0000 0.5000 x1  8 Ag 3.10
Ag 0.5000 0.5000 0.0000 x1  8 Dy 3.15
Ag 0.5000 0.5000 0.3381 x2  4 Tm 3.10, 4 Dy 3.15



Record 5
# Tm6CoAu3

An optimized crystal structure of Tm6CoAu3 (PBE-GGA, Alexandria via LeMat-Bulk).

**Calculated volume**: 508.4 Å³ per cell
**Density**: 10.9 g/cm³
**Electronic total energy**: -98.5 eV per cell
**Formation energy**: -0.547 eV per atom

a = 6.5703 Å, b = 7.6489 Å, c = 11.9853 Å
α = 90.00°, β = 122.43°, γ = 90.00°
With the nearest neighbours (Å) after each atom.
Space group P2_1/c (No. 14)
Inequivalent atoms, fractional coordinates:
Tm 0.0807 0.1980 0.4343 x4  1 Co 2.59, 1 Au 2.86
Tm 0.2630 0.6597 0.4283 x4  1 Co 2.61, 1 Au 2.92
Tm 0.3897 0.0419 0.2361 x4  1 Co 2.63, 1 Au 2.86
Co 0.0000 0.0000 0.0000 x2  6 Tm 2.59-2.63
Au 0.1769 0.1159 0.7361 x4  6 Tm 2.94-3.11
Au 0.5000 0.0000 0.5000 x2  6 Tm 2.86-2.92



Record 6
# ThTcGeN

An optimized crystal structure of ThTcGeN (PBE-GGA, Alexandria via LeMat-Bulk).

**Calculated volume**: 148.4 Å³ per cell
**Density**: 9.3 g/cm³
**Electronic total energy**: -68.2 eV per cell
**Raw formation energy**: -0.8391 eV/atom

a = 4.0839 Å, b = 4.0839 Å, c = 8.8981 Å
α = 90.00°, β = 90.00°, γ = 90.00°
With the nearest neighbours (Å) after each atom.
Space group P4/nmm (No. 129, origin choice 2)
Inequivalent atoms, fractional coordinates:
Th 0.2500 0.2500 0.1297 x2  4 N 2.35
Tc 0.2500 0.7500 0.5000 x2  4 Ge 2.53
Ge 0.2500 0.2500 0.6688 x2  4 Tc 2.53
N 0.2500 0.7500 0.0000 x2  4 Th 2.35



Record 7
# YZrCo2

An optimized crystal structure of YZrCo2 (PBE-GGA, Alexandria via LeMat-Bulk).

**Calculated volume**: 243.4 Å³ per cell
**Density**: 6.1 g/cm³
**Electronic total energy**: -89.1 eV per cell
**Formation energy**: -0.120 eV per atom

a = 3.8179 Å, b = 3.8179 Å, c = 19.2820 Å
α = 90.00°, β = 90.00°, γ = 120.00°
With the nearest neighbours (Å) after each atom.
Space group R3m (No. 160, hexagonal axes)
Inequivalent atoms, fractional coordinates:
Y 0.0000 0.0000 0.0000 x3  6 Co 2.93-2.95
Zr 0.0000 0.0000 0.1829 x3  6 Co 2.70-2.72
Co 0.0000 0.0000 0.4334 x3  3 Co 2.20
Co 0.0000 0.0000 0.7685 x3  3 Co 2.20



Record 8
# As2Pd5

An optimized crystal structure of As2Pd5 (PBE-GGA, Alexandria via LeMat-Bulk).

**Calculated volume**: 456.7 Å³ per cell
**Distance to the lowest polymorph of the same formula**: 0.0395 eV/atom
**Density**: 9.9 g/cm³
**Electronic total energy**: -149.7 eV per cell
**Formation energy**: -0.307 eV per atom

a = 13.0148 Å, b = 5.0706 Å, c = 6.9675 Å
α = 90.00°, β = 96.68°, γ = 90.00°
With the nearest neighbours (Å) after each atom.
Space group C2/c (No. 15)
Inequivalent atoms, fractional coordinates:
As 0.1085 0.1975 0.0822 x8  8 Pd 2.48-2.72
Pd 0.0000 0.1327 0.7500 x4  4 As 2.56-2.59
Pd 0.0902 0.3660 0.4200 x8  3 As 2.48-2.72
Pd 0.2224 0.0763 0.8320 x8  3 As 2.49-2.56



Record 9
# ThInAgBr6

An optimized crystal structure of ThInAgBr6 (PBE-GGA, Alexandria via LeMat-Bulk).

**Calculated volume**: 691.2 Å³ per cell
**Density**: 4.5 g/cm³
**Electronic total energy**: -67.5 eV per cell
**Raw formation energy**: -1.1877 eV/atom

a = 7.3631 Å, b = 7.3631 Å, c = 14.7222 Å
α = 90.00°, β = 90.00°, γ = 120.00°
With the nearest neighbours (Å) after each atom.
Space group P-31c (No. 163)
Inequivalent atoms, fractional coordinates:
Th 0.3333 0.6667 0.2500 x2  6 Br 2.86
In 0.0000 0.0000 0.0000 x2  6 Br 3.32
Ag 0.3333 0.6667 0.7500 x2  6 Br 2.92
Br 0.0066 0.3627 0.1367 x12  1 Th 2.86, 1 Ag 2.92



Record 10
# LiAgI2O

An optimized crystal structure of LiAgI2O (PBE-GGA, Alexandria via LeMat-Bulk).

**Calculated volume**: 170.5 Å³ per cell
**Distance to the lowest polymorph of the same formula**: 0.6062 eV/atom
**Density**: 3.7 g/cm³
**Electronic total energy**: -10.6 eV per cell
**Raw formation energy**: 0.4480 eV/atom

a = 5.5510 Å, b = 5.5510 Å, c = 5.5328 Å
α = 90.00°, β = 90.00°, γ = 90.00°
With the nearest neighbours (Å) after each atom.
Space group P4/mmm (No. 123)
Inequivalent atoms, fractional coordinates:
Li 0.0000 0.0000 0.0000 x1  2 Ag 2.77
Ag 0.0000 0.0000 0.5000 x1  2 Li 2.77, 4 I 2.78
I 0.0000 0.5000 0.5000 x2  2 Ag 2.78
O 0.5000 0.5000 0.0000 x1  8 I 3.92, 4 Li 3.93



Record 11
# PmDyAu3

An optimized crystal structure of PmDyAu3 (PBE-GGA, Alexandria via LeMat-Bulk).

**Calculated volume**: 960.1 Å³ per cell
**Distance to the lowest polymorph of the same formula**: 0.0000 eV/atom
**Density**: 12.4 g/cm³
**Electronic total energy**: -183.9 eV per cell
**Formation energy**: -0.760 eV per atom

a = 15.3390 Å, b = 8.0449 Å, c = 7.7800 Å
α = 90.00°, β = 90.00°, γ = 90.00°
With the nearest neighbours (Å) after each atom.
Space group Cmcm (No. 63)
Inequivalent atoms, fractional coordinates:
Pm 0.0000 0.0691 0.2500 x4  8 Au 3.10-3.25
Pm 0.0000 0.4114 0.7500 x4  8 Au 3.05-3.07
Dy 0.2303 0.2887 0.7500 x8  8 Au 2.98-3.19
Au 0.1130 0.3325 0.0617 x16  3 Au 2.84-2.93, 2 Dy 2.98-3.04, 3 Pm 3.05-3.10
Au 0.1657 0.0000 0.0000 x8  2 Au 2.84, 2 Dy 3.04



Record 12
# LiThGa2Au2

An optimized crystal structure of LiThGa2Au2 (PBE-GGA, Alexandria via LeMat-Bulk).

**Calculated volume**: 119.0 Å³ per cell
**Density**: 10.8 g/cm³
**Electronic total energy**: -25.5 eV per cell
**Formation energy**: -0.587 eV per atom

a = 4.4881 Å, b = 4.4881 Å, c = 6.8209 Å
α = 90.00°, β = 90.00°, γ = 120.00°
With the nearest neighbours (Å) after each atom.
Space group P-3m1 (No. 164)
Inequivalent atoms, fractional coordinates:
Li 0.0000 0.0000 0.0000 x1  6 Ga 2.90, 6 Au 3.00
Th 0.0000 0.0000 0.5000 x1  6 Au 3.21, 6 Ga 3.34, 2 Li 3.41
Ga 0.3333 0.6667 0.1912 x2  4 Au 2.60-2.82, 3 Li 2.90
Au 0.3333 0.6667 0.7778 x2  4 Ga 2.60-2.82